[1]
# Ba2CaHg4

Ba2CaHg4 after structural relaxation (PBE, Alexandria via LeMat-Bulk).

Cell and atoms, written as extended XYZ:
```
14
Lattice="5.839 0.000 0.000 0.000 5.839 0.000 0.000 0.000 14.522" Properties=species:S:1:pos:R:3 pbc="T T T"
Ba 0.000 0.000 3.246
Ba 0.000 0.000 11.276
Ba 2.920 2.920 4.015
Ba 2.920 2.920 10.507
Ca 0.000 0.000 7.261
Ca 2.920 2.920 0.000
Hg 0.000 2.920 1.507
Hg 0.000 2.920 5.754
Hg 0.000 2.920 8.768
Hg 0.000 2.920 13.015
Hg 2.920 0.000 1.507
Hg 2.920 0.000 5.754
Hg 2.920 0.000 8.768
Hg 2.920 0.000 13.015
```

Properties
- DFT formation energy (kJ/mol of formula units) = -268
- final energy (eV/atom) = -1.405
- mass density (g cm⁻³) = 7.5
- total moment (μB per formula unit) = 0.0

---

[2]
# Ba3Ca5Hg2

Ba3Ca5Hg2 after structural relaxation (PBE, Alexandria via LeMat-Bulk).

Cell and atoms, written as extended XYZ:
```
20
Lattice="13.127 0.000 0.000 0.000 13.127 0.000 0.000 0.000 4.958" Properties=species:S:1:pos:R:3 pbc="T T T"
Ba 0.000 0.000 0.000
Ba 2.308 4.255 0.000
Ba 4.255 10.819 0.000
Ba 6.563 6.563 0.000
Ba 8.872 2.308 0.000
Ba 10.819 8.872 0.000
Ca 0.000 6.563 2.479
Ca 0.907 10.176 2.479
Ca 2.951 0.907 2.479
Ca 3.613 7.471 2.479
Ca 5.656 3.613 2.479
Ca 6.563 0.000 2.479
Ca 7.471 9.514 2.479
Ca 9.514 5.656 2.479
Ca 10.176 12.220 2.479
Ca 12.220 2.951 2.479
Hg 1.540 8.104 0.000
Hg 5.023 1.540 0.000
Hg 8.104 11.587 0.000
Hg 11.587 5.023 0.000
```

Properties
- DFT formation energy (kJ/mol of formula units) = -193
- final energy (eV/atom) = -1.838
- mass density (g cm⁻³) = 3.9
- total moment (μB per formula unit) = 0.0

---

[3]
# BaCa4Hg

BaCa4Hg after structural relaxation (PBE, Alexandria via LeMat-Bulk).

Cell and atoms, written as extended XYZ:
```
6
Lattice="0.000 5.110 5.110 5.110 0.000 5.110 5.110 5.110 0.000" Properties=species:S:1:pos:R:3 pbc="T T T"
Ba 0.000 0.000 0.000
Ca 6.384 3.835 3.835
Ca 3.835 6.384 3.835
Ca 3.835 3.835 6.384
Ca 6.384 6.384 6.384
Hg 2.555 2.555 2.555
```

Properties
- DFT formation energy (kJ/mol of formula units) = 77
- final energy (eV/atom) = -1.572
- offset from the most stable computed form (eV per formula unit) = 1.79
- mass density (g cm⁻³) = 3.1
- total moment (μB per formula unit) = 0.0

---

[4]
# BaCaHg6

BaCaHg6 after structural relaxation (PBE, Alexandria via LeMat-Bulk).

Cell and atoms, written as extended XYZ:
```
8
Lattice="5.365 0.000 0.000 0.000 7.154 0.000 0.000 0.000 5.898" Properties=species:S:1:pos:R:3 pbc="T T T"
Ba 0.000 0.000 0.000
Ca 2.682 3.577 1.720
Hg 0.000 1.965 2.885
Hg 0.000 3.577 5.784
Hg 0.000 5.188 2.885
Hg 2.682 0.000 2.277
Hg 2.682 1.975 4.761
Hg 2.682 5.179 4.761
```

Properties
- DFT formation energy (kJ/mol of formula units) = -305
- final energy (eV/atom) = -1.112
- offset from the most stable computed form (eV per formula unit) = 0.00
- mass density (g cm⁻³) = 10.1
- total moment (μB per formula unit) = 0.0

---

[5]
# BaCa5Hg2

BaCa5Hg2 after structural relaxation (PBE, Alexandria via LeMat-Bulk).

Cell and atoms, written as extended XYZ:
```
16
Lattice="5.162 0.000 0.000 0.000 9.671 0.000 0.000 0.000 12.392" Properties=species:S:1:pos:R:3 pbc="T T T"
Ba 0.000 0.000 0.000
Ba 2.581 4.836 6.196
Ca 0.000 1.828 4.192
Ca 0.000 1.828 8.200
Ca 0.000 4.836 0.000
Ca 0.000 7.843 4.192
Ca 0.000 7.843 8.200
Ca 2.581 0.000 6.196
Ca 2.581 3.008 2.004
Ca 2.581 3.008 10.388
Ca 2.581 6.664 2.004
Ca 2.581 6.664 10.388
Hg 0.000 4.836 3.147
Hg 0.000 4.836 9.245
Hg 2.581 0.000 3.049
Hg 2.581 0.000 9.343
```

Properties
- DFT formation energy (kJ/mol of formula units) = -189
- final energy (eV/atom) = -1.812
- mass density (g cm⁻³) = 4.0
- total moment (μB per formula unit) = 0.0

---

[6]
# BaCaHg6

BaCaHg6 after structural relaxation (PBE, Alexandria via LeMat-Bulk).

Cell and atoms, written as extended XYZ:
```
16
Lattice="5.354 0.000 0.000 0.000 7.016 0.000 0.000 0.000 12.118" Properties=species:S:1:pos:R:3 pbc="T T T"
Ba 0.000 0.000 0.000
Ba 0.000 3.508 6.059
Ca 2.677 0.000 8.113
Ca 2.677 3.508 2.054
Hg 0.000 0.000 6.081
Hg 0.000 1.732 3.047
Hg 0.000 1.776 9.106
Hg 0.000 3.508 0.022
Hg 0.000 5.240 9.106
Hg 0.000 5.284 3.047
Hg 2.677 0.000 2.194
Hg 2.677 1.601 4.986
Hg 2.677 1.907 11.045
Hg 2.677 3.508 8.253
Hg 2.677 5.108 11.045
Hg 2.677 5.415 4.986
```

Properties
- DFT formation energy (kJ/mol of formula units) = -302
- final energy (eV/atom) = -1.108
- offset from the most stable computed form (eV per formula unit) = 0.03
- mass density (g cm⁻³) = 10.1
- total moment (μB per formula unit) = 0.0

---

[7]
# Ba2CaHg2

Ba2CaHg2 after structural relaxation (PBE, Alexandria via LeMat-Bulk).

Cell and atoms, written as extended XYZ:
```
10
Lattice="9.317 0.000 0.000 0.000 9.317 0.000 0.000 0.000 4.546" Properties=species:S:1:pos:R:3 pbc="T T T"
Ba 1.443 3.216 0.000
Ba 3.216 7.875 0.000
Ba 6.101 1.443 0.000
Ba 7.875 6.101 0.000
Ca 0.000 0.000 2.273
Ca 4.659 4.659 2.273
Hg 1.340 5.999 2.273
Hg 3.319 1.340 2.273
Hg 5.999 7.977 2.273
Hg 7.977 3.319 2.273
```

Properties
- DFT formation energy (kJ/mol of formula units) = -196
- final energy (eV/atom) = -1.696
- offset from the most stable computed form (eV per formula unit) = 0.00
- mass density (g cm⁻³) = 6.0
- total moment (μB per formula unit) = 0.0

---

[8]
# BaCa2Hg8

BaCa2Hg8 after structural relaxation (PBE, Alexandria via LeMat-Bulk).

Cell and atoms, written as extended XYZ:
```
11
Lattice="8.092 -3.171 0.000 8.092 3.171 0.000 -0.608 0.000 6.197" Properties=species:S:1:pos:R:3 pbc="T T T"
Ba 0.000 0.000 0.000
Ca 3.658 0.000 4.367
Ca 11.919 0.000 1.829
Hg 6.279 1.541 3.116
Hg 3.345 0.000 1.130
Hg 9.298 1.541 3.081
Hg 6.540 0.000 0.317
Hg 9.037 0.000 5.880
Hg 6.279 -1.541 3.116
Hg 12.232 0.000 5.066
Hg 9.298 -1.541 3.081
```

Properties
- DFT formation energy (kJ/mol of formula units) = -386
- final energy (eV/atom) = -1.122
- mass density (g cm⁻³) = 9.5
- total moment (μB per formula unit) = 0.0

---

[9]
# BaCa10Hg3

BaCa10Hg3 after structural relaxation (PBE, Alexandria via LeMat-Bulk).

Cell and atoms, written as extended XYZ:
```
28
Lattice="0.000 8.190 8.190 8.190 0.000 8.190 8.190 8.190 0.000" Properties=species:S:1:pos:R:3 pbc="T T T"
Ba 4.095 4.095 4.095
Ba 12.285 12.285 12.285
Ca 2.752 2.752 0.000
Ca 5.438 5.438 0.000
Ca 2.752 0.000 2.752
Ca 8.190 5.438 2.752
Ca 5.438 0.000 5.438
Ca 8.190 2.752 5.438
Ca 10.031 6.349 6.349
Ca 0.000 2.752 2.752
Ca 5.438 8.190 2.752
Ca 5.438 2.752 8.190
Ca 6.349 6.349 6.349
Ca 10.031 10.031 6.349
Ca 10.031 6.349 10.031
Ca 6.349 10.031 6.349
Ca 6.349 6.349 10.031
Ca 10.031 10.031 10.031
Ca 0.000 5.438 5.438
Ca 2.752 8.190 5.438
Ca 2.752 5.438 8.190
Ca 6.349 10.031 10.031
Hg 8.190 8.190 4.430
Hg 8.190 4.430 8.190
Hg 11.950 8.190 8.190
Hg 4.430 8.190 8.190
Hg 8.190 11.950 8.190
Hg 8.190 8.190 11.950
```

Properties
- DFT formation energy (kJ/mol of formula units) = -287
- final energy (eV/atom) = -1.844
- mass density (g cm⁻³) = 3.4
- total moment (μB per formula unit) = 0.0

---

[10]
# Ba3Ca4Hg

Ba3Ca4Hg after structural relaxation (PBE, Alexandria via LeMat-Bulk).

Cell and atoms, written as extended XYZ:
```
8
Lattice="4.033 0.000 0.000 0.000 4.033 0.000 0.000 0.000 22.342" Properties=species:S:1:pos:R:3 pbc="T T T"
Ba 0.000 0.000 0.000
Ba 0.000 0.000 6.278
Ba 0.000 0.000 16.065
Ca 2.017 2.017 3.125
Ca 2.017 2.017 9.433
Ca 2.017 2.017 12.910
Ca 2.017 2.017 19.218
Hg 0.000 0.000 11.171
```

Properties
- DFT formation energy (kJ/mol of formula units) = -73
- final energy (eV/atom) = -1.853
- mass density (g cm⁻³) = 3.5
- total moment (μB per formula unit) = 0.0

---

[11]
# BaCaHg

BaCaHg after structural relaxation (PBE, Alexandria via LeMat-Bulk).

Cell and atoms, written as extended XYZ:
```
12
Lattice="8.049 0.000 0.000 0.000 8.049 0.000 0.000 0.000 8.049" Properties=species:S:1:pos:R:3 pbc="T T T"
Ba 0.000 0.000 0.000
Ba 0.000 4.024 4.024
Ba 4.024 0.000 4.024
Ba 4.024 4.024 0.000
Ca 2.012 2.012 2.012
Ca 2.012 6.036 6.036
Ca 6.036 2.012 6.036
Ca 6.036 6.036 2.012
Hg 2.012 2.012 6.036
Hg 2.012 6.036 2.012
Hg 6.036 2.012 2.012
Hg 6.036 6.036 6.036
```

Properties
- DFT formation energy (kJ/mol of formula units) = 64
- final energy (eV/atom) = -1.187
- offset from the most stable computed form (eV per formula unit) = 1.74
- mass density (g cm⁻³) = 4.8
- total moment (μB per formula unit) = 0.0